TaAgSb | GGA-PBEsol | optimized geometry

Lattice parameters (Å, degrees): 3.4961 3.4961 9.3236 90.00 90.00 90.00
Space group I4mm (No. 107)
Inequivalent atoms, fractional coordinates:
Ta1 0.0000 0.0000 0.0000
Ag1 0.0000 0.0000 0.6702
Sb1 0.0000 0.0000 0.3406

Values from the calculation:
E above lowest polymorph = 0.089 eV/atom
total moment = 0.000 μB/atom
calculated density = 12.0 Mg/m³
D(E_F) = 3.673 states/eV/f.u.

ScTlMo2O8 | GGA-PBEsol | optimized geometry

Lattice parameters (Å, degrees): 14.9547 5.8208 8.9503 90.00 90.00 90.00
Space group Pnma (No. 62)
Inequivalent atoms, fractional coordinates:
Sc1 0.1150 0.2500 0.1928
Tl1 0.1251 0.7500 0.5831
Mo1 0.0360 0.2500 0.7905
Mo2 0.2211 0.7500 0.0038
O1 0.0257 0.5029 0.2673
O2 0.0535 0.2500 0.9848
O3 0.1370 0.2500 0.6970
O4 0.1370 0.7500 0.8725
O5 0.1779 0.2500 0.3990
O6 0.2057 0.0058 0.1109

Values from the calculation:
final energy = -405.60 eV per cell
total moment = 0.000 μB/atom
calculated density = 4.9 Mg/m³
D(E_F) = 0.000 states/eV/f.u.

Sc3RuPb | GGA-PBEsol | optimized geometry

Lattice parameters (Å, degrees): 4.9176 4.9176 4.9176 90.00 90.00 90.00
Space group Pm-3m (No. 221)
Inequivalent atoms, fractional coordinates:
Sc1 0.0000 0.0000 0.5000
Ru1 0.0000 0.0000 0.0000
Pb1 0.5000 0.5000 0.5000

Values from the calculation:
E_form = -191 meV per atom
total moment = 0.000 μB/atom
calculated density = 6.2 Mg/m³
D(E_F) = 2.585 states/eV/f.u.

HfSc2P2 | GGA-PBEsol | optimized geometry

Lattice parameters (Å, degrees): 6.9122 6.9122 3.5925 90.00 90.00 90.00
Space group P4/mbm (No. 127)
Inequivalent atoms, fractional coordinates:
Hf1 0.0000 0.0000 0.0000
Sc1 0.1591 0.3409 0.5000
P1 0.1442 0.6442 0.0000

Values from the calculation:
E_form = -1255 meV per atom
total moment = 0.000 μB/atom
calculated density = 6.4 Mg/m³
D(E_F) = 4.113 states/eV/f.u.

Ag3BO3 | GGA-PBEsol | optimized geometry

Lattice parameters (Å, degrees): 9.9397 9.9397 12.9094 90.00 90.00 120.00
Space group R-3c (No. 167, hexagonal axes)
Inequivalent atoms, fractional coordinates:
Ag1 0.0033 0.4922 0.1220
B1 0.0000 0.0000 0.1258
O1 0.0125 0.1448 0.1250

Values from the calculation:
E above lowest polymorph = 0.000 eV/atom
total moment = 0.000 μB/atom
calculated density = 6.9 Mg/m³

Sb2HCF | GGA-PBEsol | optimized geometry

Lattice parameters (Å, degrees): 4.3555 4.3555 3.4796 90.00 90.00 90.00
Space group P4/mmm (No. 123)
Inequivalent atoms, fractional coordinates:
Sb1 0.0000 0.5000 0.0000
H1 0.0000 0.0000 0.0000
C1 0.5000 0.5000 0.5000
F1 0.0000 0.0000 0.5000

Values from the calculation:
final energy = -20.22 eV per cell
total moment = 0.000 μB/atom
calculated density = 6.9 Mg/m³
D(E_F) = 1.642 states/eV/f.u.

Pr2Y | GGA-PBEsol | optimized geometry

Lattice parameters (Å, degrees): 3.5959 3.5959 26.3772 90.00 90.00 120.00
Space group R-3m (No. 166, hexagonal axes)
Inequivalent atoms, fractional coordinates:
Pr1 0.0000 0.0000 0.2243
Y1 0.0000 0.0000 0.0000

Values from the calculation:
E_form = 20 meV per atom
total moment = 0.000 μB/atom
calculated density = 6.3 Mg/m³
D(E_F) = 3.986 states/eV/f.u.

Rb2SiAgSn | GGA-PBEsol | optimized geometry

Lattice parameters (Å, degrees): 6.9500 6.9500 4.8426 90.00 90.00 90.00
Space group P4/mmm (No. 123)
Inequivalent atoms, fractional coordinates:
Rb1 0.0000 0.5000 0.0000
Si1 0.0000 0.0000 0.5000
Ag1 0.5000 0.5000 0.5000
Sn1 0.0000 0.0000 0.0000

Values from the calculation:
final energy = -12.74 eV per cell
total moment = 0.000 μB/atom
calculated density = 3.0 Mg/m³
D(E_F) = 1.850 states/eV/f.u.

TePI2F | GGA-PBEsol | optimized geometry

Lattice parameters (Å, degrees): 5.6067 5.6067 4.1573 90.00 90.00 90.00
Space group P4/mmm (No. 123)
Inequivalent atoms, fractional coordinates:
Te1 0.0000 0.0000 0.0000
P1 0.5000 0.5000 0.0000
I1 0.0000 0.5000 0.5000
F1 0.0000 0.0000 0.5000

Values from the calculation:
final energy = -12.52 eV per cell
total moment = 0.000 μB/atom
calculated density = 5.5 Mg/m³
D(E_F) = 5.667 states/eV/f.u.

LiMnPb | GGA-PBEsol | optimized geometry

Lattice parameters (Å, degrees): 3.1957 3.1957 6.9863 90.00 90.00 120.00
Space group P3m1 (No. 156)
Inequivalent atoms, fractional coordinates:
Li1 0.0000 0.0000 0.0000
Mn1 0.3333 0.6667 0.6783
Pb1 0.6667 0.3333 0.3450

Values from the calculation:
E_form = 440 meV per atom
total moment = 1.322 μB/atom
calculated density = 7.2 Mg/m³
D(E_F) = 2.375 states/eV/f.u.

RbTc2Os | GGA-PBEsol | optimized geometry

Lattice parameters (Å, degrees): 6.3685 6.3685 6.3685 90.00 90.00 90.00
Space group Fm-3m (No. 225)
Inequivalent atoms, fractional coordinates:
Rb1 0.0000 0.0000 0.0000
Tc1 0.2500 0.2500 0.2500
Os1 0.0000 0.0000 0.5000

Values from the calculation:
E_form = 1678 meV per atom
total moment = 0.000 μB/atom
calculated density = 12.1 Mg/m³
D(E_F) = 1.890 states/eV/f.u.

LaNi2 | GGA-PBEsol | optimized geometry

Lattice parameters (Å, degrees): 7.0029 4.0424 7.9188 90.00 90.03 90.00
Space group Cm (No. 8)
Inequivalent atoms, fractional coordinates:
La1 0.0000 0.0000 0.0000
La2 0.1664 0.5000 0.4187
Ni1 0.1656 0.5000 0.7579
Ni2 0.3322 0.0000 0.7089
Ni3 0.3334 0.0000 0.2091
Ni4 0.4988 0.5000 0.6610

Values from the calculation:
E_form = -210 meV per atom
total moment = 0.000 μB/atom
calculated density = 7.6 Mg/m³
D(E_F) = 2.590 states/eV/f.u.

- What is the formula in the eighth record?
  Rb2SiAgSn